YMg14Cr (PBE, relaxed); energy relative to the lowest polymorph listed for this composition = 0.0080 eV per atom; electronic total energy = -2.335 eV/atom
1.0
6.461 0.000 0.000
-3.230 5.595 0.000
0.000 0.000 10.275
Y Mg Cr
1 14 1
Direct
0.000 0.000 0.000
0.012 0.506 0.000
0.164 0.329 0.259
0.164 0.329 0.741
0.164 0.836 0.259
0.164 0.836 0.741
0.494 0.506 0.000
0.494 0.988 0.000
0.502 0.005 0.500
0.502 0.498 0.500
0.667 0.333 0.239
0.667 0.333 0.761
0.671 0.836 0.259
0.671 0.836 0.741
0.995 0.498 0.500
0.000 0.000 0.500

=====

Y2MgCr (PBE, relaxed); electronic total energy = -5.816 eV/atom
1.0
-1.820 2.608 5.335
1.820 -2.608 5.335
1.820 2.608 -5.335
Y Mg Cr
2 1 1
Direct
0.000 0.000 0.000
0.717 0.217 0.500
0.444 0.444 0.000
0.235 0.735 0.500

=====

YMgCr3 (PBE, relaxed); energy relative to the lowest polymorph listed for this composition = 0.0000 eV per atom; electronic total energy = -6.098 eV/atom
1.0
4.824 0.000 0.000
0.000 4.824 0.000
0.000 0.000 4.824
Y Mg Cr
1 1 3
Direct
0.000 0.000 0.000
0.500 0.500 0.500
0.000 0.500 0.500
0.500 0.000 0.500
0.500 0.500 0.000

=====

Y2MgCr (PBE, relaxed); electronic total energy = -5.779 eV/atom
1.0
3.530 0.000 0.000
0.000 3.530 0.000
0.000 0.000 8.194
Y Mg Cr
2 1 1
Direct
0.000 0.000 0.000
0.500 0.500 0.321
0.500 0.500 0.727
0.000 0.000 0.546

=====

Y4MgCr (PBE, relaxed); electronic total energy = -5.579 eV/atom
1.0
0.000 4.493 4.493
4.493 0.000 4.493
4.493 4.493 0.000
Y Mg Cr
4 1 1
Direct
0.125 0.125 0.125
0.125 0.125 0.626
0.125 0.626 0.125
0.626 0.125 0.125
0.500 0.500 0.500
0.750 0.750 0.750

=====

Y2MgCr (PBE, relaxed); electronic total energy = -5.750 eV/atom
1.0
0.000 3.673 3.673
3.673 0.000 3.673
3.673 3.673 0.000
Y Mg Cr
2 1 1
Direct
0.000 0.000 0.000
0.250 0.250 0.250
0.500 0.500 0.500
0.750 0.750 0.750

=====

Y2MgCr2 (PBE, relaxed); energy relative to the lowest polymorph listed for this composition = 0.0778 eV per atom; electronic total energy = -6.363 eV/atom
1.0
-1.666 1.666 10.167
1.666 -1.666 10.167
1.666 1.666 -10.167
Y Mg Cr
2 1 2
Direct
0.128 0.128 0.000
0.872 0.872 0.000
0.500 0.500 0.000
0.250 0.750 0.500
0.750 0.250 0.500

=====

Y2MgCr (PBE, relaxed); electronic total energy = -5.694 eV/atom
1.0
1.746 1.008 9.963
-1.746 1.008 9.963
0.000 -2.016 9.963
Y Mg Cr
2 1 1
Direct
0.241 0.241 0.241
0.759 0.759 0.759
0.000 0.000 0.000
0.500 0.500 0.500

=====

Y2MgCr (PBE, relaxed); electronic total energy = -5.483 eV/atom
1.0
-4.122 4.122 3.133
4.122 -4.122 3.133
4.122 4.122 -3.133
Y Mg Cr
4 2 2
Direct
0.094 0.625 0.969
0.375 0.344 0.469
0.656 0.125 0.031
0.875 0.906 0.531
0.250 0.750 0.500
0.500 0.500 0.000
0.000 0.000 0.000
0.750 0.250 0.500

=====

Y2MgCr2 (PBE, relaxed); energy relative to the lowest polymorph listed for this composition = 0.0000 eV per atom; electronic total energy = -6.441 eV/atom
1.0
7.288 0.000 0.000
0.000 7.288 0.000
0.000 0.000 4.224
Y Mg Cr
4 2 4
Direct
0.188 0.312 0.000
0.312 0.812 0.000
0.688 0.188 0.000
0.812 0.688 0.000
0.000 0.000 0.500
0.500 0.500 0.500
0.091 0.591 0.500
0.409 0.091 0.500
0.591 0.909 0.500
0.909 0.409 0.500

=====

YMgCr2 (PBE, relaxed); electronic total energy = -6.480 eV/atom
1.0
0.000 3.416 3.416
3.416 0.000 3.416
3.416 3.416 0.000
Y Mg Cr
1 1 2
Direct
0.000 0.000 0.000
0.250 0.250 0.250
0.500 0.500 0.500
0.750 0.750 0.750

=====

YMgCr2 (PBE, relaxed); electronic total energy = -6.494 eV/atom
1.0
-2.048 2.502 3.975
2.048 -2.502 3.975
2.048 2.502 -3.975
Y Mg Cr
1 1 2
Direct
0.000 0.000 0.000
0.289 0.789 0.500
0.562 0.562 0.000
0.725 0.225 0.500

=====

Number 1: E_form 102 kJ/mol of formula units. Number 2: E_form 85 kJ/mol of formula units. Number 3: E_form 621 kJ/mol of formula units. Number 4: E_form 99 kJ/mol of formula units. Number 5: E_form 347 kJ/mol of formula units. Number 6: E_form 111 kJ/mol of formula units. Number 7: E_form 189 kJ/mol of formula units. Number 8: E_form 132 kJ/mol of formula units. Number 9: E_form 214 kJ/mol of formula units. Number 10: E_form 151 kJ/mol of formula units. Number 11: E_form 134 kJ/mol of formula units. Number 12: E_form 128 kJ/mol of formula units.